# 1
The following is a PBE calculation of a relaxed structure of ScCrSi2, from Alexandria.

Output
ΔE to the lowest computed polymorph, meV/atom: 71.7

abc: 2.9939 3.0003 7.1681
angles: 65.26 90.00 90.00
Last column: magnetic moment on the atom in μB.
Element x y z (fractional)
Cr (0.5000, 0.2500, 0.2500)  0.65
Sc (0.5000, 0.7500, 0.7500)  0.34
Si (0.0000, 0.9448, 0.0553)  -0.02
Si (0.0000, 0.5552, 0.4447)  -0.02

---

# 2
The following is a PBE calculation of a relaxed structure of Sc3CrSi, from Alexandria.

abc: 4.7450 4.7450 4.7450
angles: 90.00 90.00 90.00
Last column: magnetic moment on the atom in μB.
Element x y z (fractional)
Sc (0.0000, 0.5000, 0.0000)  -0.02
Sc (0.0000, 0.0000, 0.5000)  -0.04
Sc (0.5000, 0.0000, 0.0000)  0.04
Cr (0.0000, 0.0000, 0.0000)  0.82
Si (0.5000, 0.5000, 0.5000)  0.02

---

# 3
The following is a PBE calculation of a relaxed structure of ScCr2Si, from Alexandria.

abc: 3.9374 3.9102 3.9797
angles: 90.00 90.00 90.00
Last column: magnetic moment on the atom in μB.
Element x y z (fractional)
Cr (0.0000, 0.0000, 0.0000)  -2.80
Cr (0.5000, 0.5000, 0.0000)  2.79
Sc (0.5000, 0.0000, 0.5000)  0.00
Si (0.0000, 0.5000, 0.5000)  0.00

---

# 4
The following is a PBE calculation of a relaxed structure of ScTa2CrSi, from Alexandria.

Output
ΔE to the lowest computed polymorph, meV/atom: 0.0

abc: 4.6370 4.4634 4.6370
angles: 90.00 90.00 90.00
Element x y z (fractional)
Sc (0.5000, 0.5000, 0.5000)
Cr (0.0000, 0.0000, 0.0000)
Si (0.0000, 0.5000, 0.0000)
Ta (0.0000, 0.0000, 0.5000)
Ta (0.5000, 0.0000, 0.0000)

---

| no. | V (Å³/atom) | VASP energy (eV per cell) |
| --- | --- | --- |
| 1 | 14.619 | -28.1 |
| 2 | 21.366 | -31.8 |
| 3 | 15.318 | -31.3 |
| 4 | 19.194 | -42.1 |